## HoPd4Au (PBE)

Data for a geometry-optimized HoPd4Au structure.

```
HoPd4Au
1.0
-4.241 2.850 1.486
-3.833 -2.259 2.919
-0.623 1.382 5.101
Au Ho Pd
1 1 4
direct
0.000 0.000 0.000
0.250 0.250 0.250
0.625 0.625 0.124
0.625 0.124 0.625
0.625 0.625 0.625
0.124 0.625 0.625
```

Summary:
- DFT total energy (eV/atom) = -5.3446
- M_tot (μB per cell) = 0.0
- formation energy from the elements (eV per formula unit) = -3.4
- mass density (Mg/m³) = 12.27
- ΔE to the lowest computed polymorph (meV/atom) = 0

## Ca2YThP4 (PBE)

Data for a geometry-optimized Ca2YThP4 structure.

```
Ca2YThP4
1.0
4.150 0.000 0.000
0.000 7.131 0.113
0.000 -2.500 6.673
Ca Y Th P
2 1 1 4
direct
0.500 0.000 0.500
0.000 0.500 0.500
0.500 0.500 0.000
0.000 0.000 0.000
0.500 0.249 0.239
0.500 0.751 0.761
0.000 0.256 0.762
0.000 0.744 0.238
```

Summary:
- DFT total energy (eV/atom) = -6.2339
- M_tot (μB per cell) = 0.0
- formation energy from the elements (eV per formula unit) = -10.3
- mass density (Mg/m³) = 4.39

> What is the DFT total energy in the first record?

-5.3446 eV/atom